This record from Alexandria describes crystalline MnGaBRuSe at its relaxed geometry. The functional is PBE.

Crystal system   trigonal
E   -6.50 eV/atom
Formation energy (no corrections)   -84 kJ/mol of formula units

```
data_MnGaBRuSe
_cell_length_a 3.2579
_cell_length_b 3.2579
_cell_length_c 23.6579
_cell_angle_alpha 90.00
_cell_angle_beta 90.00
_cell_angle_gamma 120.00
_symmetry_space_group_name_H-M 'R 3 m'
_symmetry_Int_Tables_number 160
_symmetry_space_group_name_Hall 'R 3 -2"'
loop_
_atom_site_label
_atom_site_type_symbol
_atom_site_fract_x
_atom_site_fract_y
_atom_site_fract_z
_atom_site_occupancy
Mn1 Mn 0.0000 0.0000 0.0000 1
Ga1 Ga 0.0000 0.0000 0.1620 1
B1 B 0.0000 0.0000 0.3775 1
Ru1 Ru 0.0000 0.0000 0.7539 1
Se1 Se 0.0000 0.0000 0.2717 1
```

This record from Alexandria describes crystalline KZrIn at its relaxed geometry. The functional is PBE.

Crystal system   orthorhombic
Calculated formation energy   228 meV per atom
E   -3.90 eV/atom

```
data_KZrIn
_cell_length_a 5.397
_cell_length_b 13.809
_cell_length_c 5.504
_cell_angle_alpha 90.00
_cell_angle_beta 90.00
_cell_angle_gamma 90.00
_symmetry_space_group_name_H-M 'A m m 2'
_symmetry_Int_Tables_number 38
loop_
_symmetry_equiv_pos_as_xyz
'x,y,z'
'-x,-y,z'
'-x,y,z'
'x,-y,z'
'x,y+1/2,z+1/2'
'-x,-y+1/2,z+1/2'
'-x,y+1/2,z+1/2'
'x,-y+1/2,z+1/2'
loop_
_atom_site_label
_atom_site_type_symbol
_atom_site_fract_x
_atom_site_fract_y
_atom_site_fract_z
_atom_site_occupancy
K1 K 0.000 0.000 0.000 1
K2 K 0.500 0.000 0.476 1
Zr1 Zr 0.500 0.245 0.783 1
In1 In 0.000 0.203 0.525 1
```

This record from Alexandria describes crystalline NaCd12Sn6 at its relaxed geometry. The functional is PBE.

Crystal system   trigonal
Calculated formation energy   48 meV per atom
E   -1.86 eV/atom

```
data_NaCd12Sn6
_cell_length_a 13.6195
_cell_length_b 13.6195
_cell_length_c 9.6145
_cell_angle_alpha 90.00
_cell_angle_beta 90.00
_cell_angle_gamma 120.00
_symmetry_space_group_name_H-M 'R -3 m'
_symmetry_Int_Tables_number 166
_symmetry_space_group_name_Hall '-R 3 2"'
loop_
_atom_site_label
_atom_site_type_symbol
_atom_site_fract_x
_atom_site_fract_y
_atom_site_fract_z
_atom_site_occupancy
Na1 Na 0.0000 0.0000 0.0000 1
Cd1 Cd 0.0000 0.3948 0.5000 1
Cd2 Cd 0.0744 0.1487 0.2853 1
Sn1 Sn 0.0445 0.5223 0.2158 1
```

This record from Alexandria describes crystalline CdSiRh at its relaxed geometry. The functional is PBE.

Crystal system   tetragonal
E   -5.03 eV/atom
Formation energy (no corrections)   -136 kJ/mol of formula units

```
data_CdSiRh
_cell_length_a 3.635
_cell_length_b 3.635
_cell_length_c 7.707
_cell_angle_alpha 90.00
_cell_angle_beta 90.00
_cell_angle_gamma 90.00
_symmetry_space_group_name_H-M 'P 4/n m m'
_symmetry_Int_Tables_number 129
loop_
_symmetry_equiv_pos_as_xyz
'x,y,z'
'-x,-y,-z'
'-y+1/2,x,z'
'y+1/2,-x,-z'
'-x+1/2,-y+1/2,z'
'x+1/2,y+1/2,-z'
'y,-x+1/2,z'
'-y,x+1/2,-z'
'x+1/2,-y,-z'
'-x+1/2,y,z'
'-y,-x,-z'
'y,x,z'
'-x,y+1/2,-z'
'x,-y+1/2,z'
'y+1/2,x+1/2,-z'
'-y+1/2,-x+1/2,z'
loop_
_atom_site_label
_atom_site_type_symbol
_atom_site_fract_x
_atom_site_fract_y
_atom_site_fract_z
_atom_site_occupancy
Cd1 Cd 0.250 0.250 0.118 1
Si1 Si 0.250 0.750 0.500 1
Rh1 Rh 0.250 0.250 0.699 1
```

This record from Alexandria describes crystalline LiMg2P at its relaxed geometry. The functional is PBE.

Crystal system   tetragonal
Calculated formation energy   -223 meV per atom
E   -2.85 eV/atom

```
data_LiMg2P
_cell_length_a 3.529
_cell_length_b 3.529
_cell_length_c 5.807
_cell_angle_alpha 90.00
_cell_angle_beta 90.00
_cell_angle_gamma 90.00
_symmetry_space_group_name_H-M 'P 4 m m'
_symmetry_Int_Tables_number 99
loop_
_symmetry_equiv_pos_as_xyz
'x,y,z'
'-y,x,z'
'-x,-y,z'
'y,-x,z'
'-x,y,z'
'y,x,z'
'x,-y,z'
'-y,-x,z'
loop_
_atom_site_label
_atom_site_type_symbol
_atom_site_fract_x
_atom_site_fract_y
_atom_site_fract_z
_atom_site_occupancy
Li1 Li 0.000 0.000 0.000 1
Mg1 Mg 0.000 0.000 0.565 1
Mg2 Mg 0.500 0.500 0.253 1
P1 P 0.500 0.500 0.778 1
```

This record from Alexandria describes crystalline Tb2Pm2SmEr at its relaxed geometry. The functional is PBE.

Crystal system   orthorhombic
Calculated formation energy   62 meV per atom
E   -4.61 eV/atom

```
data_Tb2Pm2SmEr
_cell_length_a 7.013
_cell_length_b 9.858
_cell_length_c 5.663
_cell_angle_alpha 90.00
_cell_angle_beta 90.00
_cell_angle_gamma 90.00
_symmetry_space_group_name_H-M 'P n n m'
_symmetry_Int_Tables_number 58
loop_
_symmetry_equiv_pos_as_xyz
'x,y,z'
'-x,-y,-z'
'-x,-y,z'
'x,y,-z'
'x+1/2,-y+1/2,-z+1/2'
'-x+1/2,y+1/2,z+1/2'
'-x+1/2,y+1/2,-z+1/2'
'x+1/2,-y+1/2,z+1/2'
loop_
_atom_site_label
_atom_site_type_symbol
_atom_site_fract_x
_atom_site_fract_y
_atom_site_fract_z
_atom_site_occupancy
Tb1 Tb 0.250 0.166 0.000 1
Pm1 Pm 0.249 0.333 0.500 1
Sm1 Sm 0.000 0.000 0.500 1
Er1 Er 0.000 0.500 0.000 1
```

Question: Among the records above, which one has the highest E?
Answer: NaCd12Sn6

Question: Look up the E of the third one.
Answer: -1.86 eV/atom

Question: What is the E in the fourth record?
Answer: -5.03 eV/atom

Question: Which value of E does entry 5 give?
Answer: -2.85 eV/atom